Version 1
Here is an optimized crystal structure of KBe3Zn from the Alexandria database. Energies are from GGA-PBE.

Summary:
SG: No. 221

POSCAR file:
```
KBe3Zn
1.0
6.0554 0.0000 0.0000
0.0000 6.0554 0.0000
0.0000 0.0000 6.0554
K Be Zn
1 3 1
Cartesian
0.0000 0.0000 0.0000
0.0000 0.0000 3.0277
0.0000 3.0277 0.0000
3.0277 0.0000 0.0000
3.0277 3.0277 3.0277
```

=====

Version 2
Here is an optimized crystal structure of KBe3Zn from the Alexandria database. Energies are from GGA-PBE.

Summary:
SG: No. 221

POSCAR file:
```
KBe3Zn
1.0
4.4350 0.0000 0.0000
0.0000 4.4350 0.0000
0.0000 0.0000 4.4350
K Be Zn
1 3 1
Cartesian
0.0000 0.0000 0.0000
0.0000 2.2175 2.2175
2.2175 0.0000 2.2175
2.2175 2.2175 0.0000
2.2175 2.2175 2.2175
```

=====

Preferred: version 2; penalty for the next structure: 1.447 eV/atom.